8
Lattice="7.0334 0.0000 0.0000 0.0000 4.0052 0.0000 -2.2854 0.0000 6.6941" Properties=species:S:1:pos:R:3 comment="DyHo2ErSe4 (PBE, optimized geometry)" e_form_raw_kcal_per_mol_atoms=-39.63 crystal_system=monoclinic pbc="T T T"
Dy 0.0000 0.0000 0.0000
Ho 2.3740 0.0000 3.3471
Ho 3.5167 2.0026 0.0000
Er -1.1427 2.0026 3.3471
Se 0.0441 0.0000 5.0078
Se 1.1873 2.0026 1.6863
Se 3.5608 2.0026 5.0079
Se 4.7040 0.0000 1.6864

32
Lattice="12.6621 0.0000 0.0000 0.0000 12.6621 0.0000 0.0000 0.0000 6.1971" Properties=species:S:1:pos:R:3 comment="Sm3Te (PBE, optimized geometry)" e_form_raw_kcal_per_mol_atoms=-15.73 relative_energy_mev_per_atom=0 crystal_system=tetragonal pbc="T T T"
Sm 0.4473 7.2684 1.4859
Sm 0.9373 12.2148 4.5845
Sm 1.3930 2.8118 0.2231
Sm 1.7859 8.4486 4.4223
Sm 2.1176 10.8762 1.3238
Sm 2.8118 4.9381 2.8755
Sm 3.5192 1.3930 2.8755
Sm 4.2135 8.1169 1.3238
Sm 4.5452 10.5445 4.4223
Sm 4.9381 3.5192 0.2231
Sm 5.3937 6.7783 4.5845
Sm 5.8838 11.7247 1.4859
Sm 6.7783 0.9373 4.7112
Sm 7.2684 5.8838 1.6126
Sm 7.7240 9.1428 5.9741
Sm 8.1169 2.1176 1.7748
Sm 8.4486 4.5452 4.8734
Sm 9.1428 11.2691 3.3216
Sm 9.8503 7.7240 3.3216
Sm 10.5445 1.7859 4.8734
Sm 10.8762 4.2135 1.7748
Sm 11.2691 9.8503 5.9741
Sm 11.7247 0.4473 1.6126
Sm 12.2148 5.3937 4.7112
Te 0.6034 2.6260 3.3473
Te 2.6260 5.7276 5.9484
Te 3.7050 0.6034 5.9484
Te 5.7276 3.7050 3.3473
Te 6.9345 8.9570 2.8498
Te 8.9570 12.0586 0.2488
Te 10.0361 6.9345 0.2488
Te 12.0586 10.0361 2.8498

7
Lattice="6.6198 -1.9116 0.0000 6.6198 1.9116 0.0000 -2.3134 0.0000 5.6639" Properties=species:S:1:pos:R:3 comment="Mg2H2Br3 (PBE, optimized geometry)" final_energy_ev_per_cell=-20.1 crystal_system=monoclinic pbc="T T T"
Mg 0.7270 0.0000 1.7402
Mg 10.1992 0.0000 3.9238
H 6.6198 0.4266 0.0000
H 6.6198 -0.4266 0.0000
Br 1.7783 0.0000 4.2986
Br 5.4631 0.0000 2.8320
Br 9.1479 0.0000 1.3654

Number 1: volume 188.58 Å³/cell, M_tot 0.00 μB/f.u.. Number 2: volume 993.57 Å³/cell, M_tot 0.00 μB/f.u.. Number 3: volume 143.34 Å³/cell, M_tot 0.00 μB/f.u..